Entry 1:
CrTeCl2: optimized geometry, PBE-GGA.

```
CrTeCl2
1.0
3.3794 0.0000 0.0000
0.0000 3.3794 0.0000
0.0000 0.0000 8.3055
Cr Te Cl
1 1 2
Direct
0.0000 0.0000 0.5064
0.5000 0.5000 0.7153
0.0000 0.0000 0.9414
0.5000 0.5000 0.3369
```

Crystal system: tetragonal
Formation energy (no corrections), eV per formula unit: -0.518
N(E_F), states/eV per cell: 1.5
Space group: P4mm, No. 99

Entry 2:
CrTeCl2: optimized geometry, PBE-GGA.

```
CrTeCl2
1.0
-1.3751 1.8456 -2.6259
-1.8091 -0.9702 2.8246
3.1066 10.0635 5.4463
Te Cl Cr
1 2 1
Direct
0.5000 0.5000 0.7500
0.0000 0.0000 0.3890
0.0000 0.0000 0.1110
0.5000 0.5000 0.2500
```

Crystal system: orthorhombic
Formation energy (no corrections), eV per formula unit: -1.838
N(E_F), states/eV per cell: 2.4
Space group: Cmmm, No. 65

Entry 3:
CrTe2Cl: optimized geometry, PBE-GGA.

```
CrTe2Cl
1.0
-0.8342 3.6401 -3.9011
-4.9576 0.9310 1.9288
1.1787 2.3178 1.9107
Cl Te Cr
1 2 1
Direct
0.5000 0.0000 0.5000
0.5000 0.5000 0.0000
0.0000 0.0000 0.0000
0.0000 0.5000 0.5000
```

Crystal system: tetragonal
Formation energy (no corrections), eV per formula unit: 1.398
N(E_F), states/eV per cell: 3.3
Space group: P4/mmm, No. 123

Entry 4:
CrTeCl2: optimized geometry, PBE-GGA.

```
CrTeCl2
1.0
3.2375 0.0000 0.0000
0.0000 3.3185 -0.0296
0.0000 1.1930 11.3304
Cl Cr Te
2 1 1
Direct
0.0000 0.0895 0.1142
0.0000 0.4105 0.3858
0.5000 0.2500 0.2500
0.5000 0.7500 0.7500
```

Crystal system: monoclinic
Formation energy (no corrections), eV per formula unit: -2.043
N(E_F), states/eV per cell: 1.5
Space group: P2/m, No. 10

Entry 5:
CrTeCl2: optimized geometry, PBE-GGA.

```
CrTeCl2
1.0
7.0168 0.1806 0.0031
3.4023 6.1394 -0.0031
-4.1427 -4.9187 2.8128
Cr Te Cl
1 1 2
Direct
0.2500 0.7500 0.5000
0.7500 0.2500 0.5000
0.1080 0.1080 0.0000
0.3920 0.3920 0.0000
```

Crystal system: orthorhombic
Formation energy (no corrections), eV per formula unit: -1.815
N(E_F), states/eV per cell: 1.6
Space group: Immm, No. 71

Entry 6:
CrTeCl2: optimized geometry, PBE-GGA.

```
CrTeCl2
1.0
3.3323 0.0000 0.0000
0.0000 4.5580 -0.0063
0.0000 0.0083 5.8916
Cl Te Cr
2 1 1
Direct
0.5000 0.0000 0.5000
0.0000 0.0000 0.0000
0.0000 0.5000 0.5000
0.5000 0.5000 0.0000
```

Crystal system: orthorhombic
Formation energy (no corrections), eV per formula unit: 0.080
N(E_F), states/eV per cell: 2.2
Space group: Pmmm, No. 47

Entry 7:
CrTeCl2: optimized geometry, PBE-GGA.

```
CrTeCl2
1.0
4.9174 0.0000 0.0000
2.4587 4.2586 0.0000
2.4587 1.4195 4.0150
Cr Cl Te
1 2 1
Direct
0.5000 0.5000 0.5000
0.0000 0.0000 0.0000
0.2500 0.2500 0.2500
0.7500 0.7500 0.7500
```

Crystal system: cubic
Formation energy (no corrections), eV per formula unit: 0.678
N(E_F), states/eV per cell: 3.4
Space group: F-43m, No. 216

Entry 8:
CrTe2Cl: optimized geometry, PBE-GGA.

```
CrTe2Cl
1.0
6.7829 0.0000 0.0000
0.0000 6.7829 0.0000
3.3914 3.3914 5.7597
Te Cl Cr
4 2 2
Direct
0.0452 0.6250 0.2500
0.8750 0.9548 0.7500
0.7048 0.1250 0.2500
0.3750 0.2952 0.7500
0.2500 0.7500 0.5000
0.5000 0.5000 0.0000
0.7500 0.2500 0.5000
0.0000 0.0000 0.0000
```

Crystal system: tetragonal
Formation energy (no corrections), eV per formula unit: 0.371
N(E_F), states/eV per cell: 5.6
Space group: I-42d, No. 122

Entry 9:
CrTeCl2: optimized geometry, PBE-GGA.

```
CrTeCl2
1.0
-1.9665 -2.7358 -2.9332
3.9825 -0.9427 -1.7908
0.4788 -3.4109 2.8603
Cl Te Cr
2 1 1
Direct
0.5000 0.5000 0.0000
0.0000 0.0000 0.0000
0.0000 0.5000 0.5000
0.5000 0.0000 0.5000
```

Crystal system: tetragonal
Formation energy (no corrections), eV per formula unit: 1.029
N(E_F), states/eV per cell: 3.0
Space group: P4/mmm, No. 123

Entry 10:
CrTeCl2: optimized geometry, PBE-GGA.

```
CrTeCl2
1.0
-2.8225 0.1063 2.3270
-0.6397 -6.7164 -0.4690
2.3100 -5.5847 3.0571
Cr Cl Te
1 2 1
Direct
0.0000 0.5031 0.5019
0.0000 0.9754 0.9754
0.5000 0.3718 0.3733
0.5000 0.6498 0.6494
```

Crystal system: monoclinic
Formation energy (no corrections), eV per formula unit: -2.146
N(E_F), states/eV per cell: 0.7
Space group: Pm, No. 6

Entry 11:
CrTeCl2: optimized geometry, PBE-GGA.

```
CrTeCl2
1.0
-6.6766 -1.1983 0.7688
-6.2334 -1.5485 -2.3133
-2.0360 -6.7643 0.4758
Cl Te Cr
2 1 1
Direct
0.8537 0.8537 0.6497
0.0142 0.0142 0.8752
0.1486 0.1486 0.3157
0.4834 0.4834 0.6594
```

Crystal system: monoclinic
Formation energy (no corrections), eV per formula unit: -2.130
N(E_F), states/eV per cell: 3.2
Space group: Cm, No. 8

Entry 12:
CrTeCl: optimized geometry, PBE-GGA.

```
CrTeCl
1.0
7.1118 0.1167 0.0164
5.5209 4.4845 -0.0164
-6.2969 -2.3540 2.3236
Cl Cr Te
1 1 1
Direct
0.0472 0.0472 0.0000
0.6620 0.6620 0.0000
0.2908 0.2908 0.0000
```

Crystal system: orthorhombic
Formation energy (no corrections), eV per formula unit: -0.560
N(E_F), states/eV per cell: 1.8
Space group: Imm2, No. 44